No. 1
A relaxed Nd5Dy3Er crystal. Source: Alexandria, functional PBE.

Properties
The calculation puts the density at 6.75 g/cm3. The formation enthalpy at 0 K comes out at 484 meV per atom. Its crystal system is monoclinic.

Cell lengths 8.4021, 8.4021, 13.2962 Å; angles 60.58, 60.58, 89.77 degrees
With the nearest neighbours (Å) after each atom.
Fractional positions:
Nd: 0.7439 0.2437 0.3522  1 Er 3.31, 1 Nd 3.35, 2 Dy 3.56-3.58
Nd: 0.2529 0.7471 0.0000  1 Dy 3.00
Nd: 0.6671 0.6671 0.0821  1 Er 3.18, 4 Dy 3.30-3.43, 1 Nd 3.38
Nd: 0.3227 0.3227 0.4192  4 Dy 3.19-3.46, 3 Nd 3.35-3.38, 1 Er 3.40
Nd: 0.6773 0.6773 0.5808  4 Dy 3.19-3.46, 3 Nd 3.35-3.38, 1 Er 3.40
Nd: 0.3329 0.3329 0.9179  1 Er 3.18, 4 Dy 3.30-3.43, 1 Nd 3.38
Nd: 0.2437 0.7439 0.3522  1 Er 3.31, 1 Nd 3.35, 2 Dy 3.56-3.58
Nd: 0.7471 0.2529 0.0000  1 Dy 3.00
Nd: 0.2561 0.7563 0.6478  1 Er 3.31, 1 Nd 3.35, 2 Dy 3.56-3.58
Nd: 0.7563 0.2561 0.6478  1 Er 3.31, 1 Nd 3.35, 2 Dy 3.56-3.58
Dy: 0.6754 0.6754 0.8242  5 Nd 3.22-3.41, 2 Dy 3.23-3.50, 1 Er 3.32
Dy: 0.6681 0.6681 0.3396  1 Er 3.20, 2 Dy 3.25-3.36, 5 Nd 3.28-3.56
Dy: 0.0000 0.0000 0.0000  4 Nd 3.00-3.30, 2 Er 3.15, 2 Dy 3.36
Dy: 0.0000 0.0000 0.5000  2 Nd 3.19, 2 Dy 3.23, 2 Er 3.50
Dy: 0.3246 0.3246 0.1758  5 Nd 3.22-3.41, 2 Dy 3.23-3.50, 1 Er 3.32
Dy: 0.3319 0.3319 0.6604  1 Er 3.20, 2 Dy 3.25-3.36, 5 Nd 3.28-3.56
Er: 0.9949 0.9949 0.7663  4 Dy 3.15-3.50, 4 Nd 3.18-3.40
Er: 0.0051 0.0051 0.2337  4 Dy 3.15-3.50, 4 Nd 3.18-3.40

---

No. 2
A relaxed AcPmY crystal. Source: Alexandria, functional PBE.

Properties
The calculation puts the density at 6.87 g/cm3. The formation enthalpy at 0 K comes out at 58 meV per atom. Its crystal system is monoclinic.

Cell lengths 3.7558, 3.7554, 18.3665 Å; angles 84.14, 84.14, 59.98 degrees
With the nearest neighbours (Å) after each atom.
Fractional positions:
Ac: 0.5927 0.1899 0.0556  9 Ac 3.75-4.03, 3 Pm 3.81
Ac: 0.9872 0.5862 0.8697  9 Ac 3.75-4.03, 3 Pm 3.80-3.81
Pm: 0.7103 0.3104 0.6982  3 Y 3.59, 6 Pm 3.75-3.76, 3 Ac 3.80-3.81
Pm: 0.8692 0.4660 0.2272  3 Y 3.59, 6 Pm 3.75-3.76, 3 Ac 3.81
Y: 0.0964 0.6958 0.5412  9 Y 3.59-3.76, 3 Pm 3.59
Y: 0.4829 0.0808 0.3842  9 Y 3.59-3.76, 3 Pm 3.59

---

No. 3
A relaxed Nd4MgTl crystal. Source: Alexandria, functional PBE.

Properties
The calculation puts the density at 7.10 g/cm3. The formation enthalpy at 0 K comes out at -133 meV per atom. Its crystal system is orthorhombic.

Cell lengths 5.3984, 9.9573, 7.0093 Å; angles 90.00, 90.00, 90.00 degrees
With the nearest neighbours (Å) after each atom.
Fractional positions:
Nd: 0.2500 0.4224 0.7500  4 Mg 3.18-3.51, 1 Nd 3.52
Nd: 0.7500 0.5776 0.2500  4 Mg 3.18-3.51, 1 Nd 3.52
Nd: 0.2500 0.0685 0.7500  4 Tl 3.22-3.53, 1 Nd 3.52
Nd: 0.7500 0.9315 0.2500  4 Tl 3.22-3.53, 1 Nd 3.52
Nd: 0.2500 0.7405 0.9916  8 Nd 3.39-3.77, 3 Mg 3.52-3.76, 2 Tl 3.53
Nd: 0.7500 0.2595 0.4916  8 Nd 3.39-3.77, 3 Mg 3.52-3.76, 2 Tl 3.53
Nd: 0.2500 0.7405 0.5084  8 Nd 3.39-3.77, 3 Mg 3.52-3.76, 2 Tl 3.53
Nd: 0.7500 0.2595 0.0084  8 Nd 3.39-3.77, 3 Mg 3.52-3.76, 2 Tl 3.53
Mg: 0.7500 0.5909 0.7500  1 Tl 3.01, 2 Nd 3.18
Mg: 0.2500 0.4091 0.2500  1 Tl 3.01, 2 Nd 3.18
Tl: 0.7500 0.8927 0.7500  1 Mg 3.01, 2 Nd 3.22
Tl: 0.2500 0.1073 0.2500  1 Mg 3.01, 2 Nd 3.22

---

No. 4
A relaxed Ca2PSe2 crystal. Source: Alexandria, functional PBE.

Properties
The calculation puts the density at 3.74 g/cm3. Its crystal system is tetragonal. Its raw formation energy is -1.03 eV per atom.

Cell lengths 7.7829, 7.7829, 3.9418 Å; angles 90.00, 90.00, 90.00 degrees
With the nearest neighbours (Å) after each atom.
Fractional positions:
P: 0.0000 0.0000 0.0000  4 Se 2.94
P: 0.5000 0.5000 0.0000  4 Se 2.94
Ca: 0.1600 0.6600 0.5000  6 Se 2.83-3.15
Ca: 0.6600 0.8400 0.5000  6 Se 2.83-3.15
Ca: 0.8400 0.3400 0.5000  6 Se 2.83-3.15
Ca: 0.3400 0.1600 0.5000  6 Se 2.83-3.15
Se: 0.3444 0.8444 0.0000  6 Ca 2.83-3.15, 2 P 2.94
Se: 0.8444 0.6556 0.0000  6 Ca 2.83-3.15, 2 P 2.94
Se: 0.6556 0.1556 0.0000  6 Ca 2.83-3.15, 2 P 2.94
Se: 0.1556 0.3444 0.0000  6 Ca 2.83-3.15, 2 P 2.94

---

No. 5
A relaxed PmNd2PaRu2 crystal. Source: Alexandria, functional PBE.

Properties
The calculation puts the density at 8.71 g/cm3. The formation enthalpy at 0 K comes out at -261 meV per atom. Its crystal system is orthorhombic.

Cell lengths 6.8751, 7.0987, 8.3822 Å; angles 115.05, 114.21, 90.00 degrees
With the nearest neighbours (Å) after each atom.
Fractional positions:
Pm: 0.2500 0.0000 0.0000  4 Ru 2.99
Pm: 0.7500 0.0000 0.0000  4 Ru 2.99
Nd: 0.6954 0.9049 0.3908  2 Ru 2.90-3.25
Nd: 0.1954 0.4858 0.3908  2 Ru 2.90-3.25
Nd: 0.8046 0.5142 0.6092  2 Ru 2.90-3.25
Nd: 0.3046 0.0951 0.6092  2 Ru 2.90-3.25
Pa: 0.7500 0.5000 0.0000  4 Ru 2.60
Pa: 0.2500 0.5000 0.0000  4 Ru 2.60
Ru: 0.4050 0.6109 0.8100  2 Pa 2.60, 1 Nd 2.90
Ru: 0.5950 0.3891 0.1900  2 Pa 2.60, 1 Nd 2.90
Ru: 0.0950 0.8008 0.1900  2 Pa 2.60, 1 Nd 2.90
Ru: 0.9050 0.1992 0.8100  2 Pa 2.60, 1 Nd 2.90

---

No. 6
A relaxed GdHfTc crystal. Source: Alexandria, functional PBE.

Properties
The calculation puts the density at 10.73 g/cm3. The formation enthalpy at 0 K comes out at -134 meV per atom. Its crystal system is tetragonal.

Cell lengths 3.3816, 3.3816, 6.3388 Å; angles 105.47, 105.47, 90.00 degrees
With the nearest neighbours (Å) after each atom.
Fractional positions:
Gd: 0.0219 0.0219 0.0438  4 Tc 3.05, 1 Hf 3.21, 4 Gd 3.38
Hf: 0.2956 0.2956 0.5911  4 Tc 2.73
Tc: 0.6825 0.6825 0.3650  4 Hf 2.73, 4 Gd 3.05

---

No. 7
A relaxed ZrRe5 crystal. Source: Alexandria, functional PBE.

Properties
The calculation puts the density at 17.59 g/cm3. The formation enthalpy at 0 K comes out at 89 meV per atom. Its crystal system is monoclinic.

Cell lengths 5.3475, 5.3475, 6.8248 Å; angles 72.91, 72.91, 31.27 degrees
With the nearest neighbours (Å) after each atom.
Fractional positions:
Zr: 0.2966 0.2966 0.9288  8 Re 2.75-2.99, 2 Zr 2.88
Re: 0.0176 0.0176 0.0165  8 Re 2.72-2.91, 3 Zr 2.75-2.91
Re: 0.6104 0.6104 0.2850  10 Re 2.65-2.88
Re: 0.3250 0.3250 0.3520  11 Re 2.69-2.91, 1 Zr 2.99
Re: 0.9437 0.9437 0.5826  8 Re 2.65-2.88, 2 Zr 2.79
Re: 0.6401 0.6401 0.6684  10 Re 2.69-3.00

---

No. 8
A relaxed MnCuPb3 crystal. Source: Alexandria, functional PBE.

Properties
The calculation puts the density at 9.20 g/cm3. The formation enthalpy at 0 K comes out at 577 meV per atom. Its crystal system is cubic.

Cell lengths 5.1126, 5.1126, 5.1126 Å; angles 90.00, 90.00, 90.00 degrees
With the nearest neighbours (Å) after each atom.
Fractional positions:
Pb: 0.0000 0.5000 0.0000  2 Mn 2.56
Pb: 0.0000 0.0000 0.5000  2 Mn 2.56
Pb: 0.5000 0.0000 0.0000  2 Mn 2.56
Mn: 0.0000 0.0000 0.0000  6 Pb 2.56
Cu: 0.5000 0.5000 0.5000  12 Pb 3.62

---

No. 9
A relaxed MgTl2In2 crystal. Source: Alexandria, functional PBE.

Properties
The calculation puts the density at 7.60 g/cm3. The formation enthalpy at 0 K comes out at 107 meV per atom. Its crystal system is tetragonal.

Cell lengths 8.3904, 8.3904, 4.1161 Å; angles 90.00, 90.00, 90.00 degrees
With the nearest neighbours (Å) after each atom.
Fractional positions:
Tl: 0.3445 0.8445 0.0000  6 In 3.13-3.26, 2 Mg 3.17
Tl: 0.8445 0.6555 0.0000  6 In 3.13-3.26, 2 Mg 3.17
Tl: 0.6555 0.1555 0.0000  6 In 3.13-3.26, 2 Mg 3.17
Tl: 0.1555 0.3445 0.0000  6 In 3.13-3.26, 2 Mg 3.17
Mg: 0.0000 0.0000 0.0000  4 Tl 3.17
Mg: 0.5000 0.5000 0.0000  4 Tl 3.17
In: 0.1459 0.6459 0.5000  6 Tl 3.13-3.26, 1 In 3.46
In: 0.6459 0.8541 0.5000  6 Tl 3.13-3.26, 1 In 3.46
In: 0.8541 0.3541 0.5000  6 Tl 3.13-3.26, 1 In 3.46
In: 0.3541 0.1459 0.5000  6 Tl 3.13-3.26, 1 In 3.46

---

No. 10
A relaxed MnAl4Fe crystal. Source: Alexandria, functional PBE.

Properties
The calculation puts the density at 4.04 g/cm3. The formation enthalpy at 0 K comes out at 205 meV per atom. Its crystal system is cubic.

Cell lengths 5.0281, 5.0281, 5.0281 Å; angles 60.00, 60.00, 60.00 degrees
With the nearest neighbours (Å) after each atom.
Fractional positions:
Mn: 0.0000 0.0000 0.0000  12 Al 2.95, 4 Fe 3.08
Al: 0.6252 0.6252 0.1245  6 Al 2.51-2.52
Al: 0.6252 0.1245 0.6252  6 Al 2.51-2.52
Al: 0.6252 0.6252 0.6252  6 Al 2.51-2.52
Al: 0.1245 0.6252 0.6252  6 Al 2.51-2.52
Fe: 0.2500 0.2500 0.2500  12 Al 2.95, 4 Mn 3.08

---

No. 11
A relaxed Sr2UTe4 crystal. Source: Alexandria, functional PBE.

Properties
The calculation puts the density at 5.80 g/cm3. Its crystal system is orthorhombic. Its raw formation energy is -1.22 eV per atom.

Cell lengths 4.6709, 8.2684, 13.6995 Å; angles 90.00, 90.00, 90.00 degrees
With the nearest neighbours (Å) after each atom.
Fractional positions:
Sr: 0.5000 0.9060 0.8173  6 Te 3.31-3.49
Sr: 0.5000 0.0940 0.1827  6 Te 3.31-3.49
Sr: 0.5000 0.4060 0.6827  6 Te 3.31-3.49
Sr: 0.5000 0.5940 0.3173  6 Te 3.31-3.49
U: 0.0000 0.0000 0.5000  6 Te 3.03-3.12
U: 0.0000 0.5000 0.0000  6 Te 3.03-3.12
Te: 0.0000 0.6251 0.7919  1 U 3.03, 4 Sr 3.31
Te: 0.0000 0.3749 0.2081  1 U 3.03, 4 Sr 3.31
Te: 0.0000 0.1251 0.7081  1 U 3.03, 4 Sr 3.31
Te: 0.0000 0.8749 0.2919  1 U 3.03, 4 Sr 3.31
Te: 0.5000 0.7636 0.5479  2 U 3.12, 2 Sr 3.46-3.49
Te: 0.5000 0.2364 0.4521  2 U 3.12, 2 Sr 3.46-3.49
Te: 0.5000 0.7364 0.0479  2 U 3.12, 2 Sr 3.46-3.49
Te: 0.5000 0.2636 0.9521  2 U 3.12, 2 Sr 3.46-3.49

---

no.,magnetic moment (Bohr magnetons per cell),VASP energy (eV for the cell shown),N(E_F) (states/eV/cell)
1,0.00,-75.70,25.6
2,0.00,-30.30,9.7
3,0.00,-47.66,11.4
4,0.00,-43.10,4.2
5,0.00,-87.80,13.3
6,7.20,-34.80,1.9
7,0.00,-70.25,5.9
8,0.00,-21.51,0.0
9,0.00,-22.54,6.1
10,5.36,-31.37,4.1
11,4.00,-71.51,10.1